Entry from Alexandria: Sc3FeRe after structural relaxation (PBEsol).

total energy: -38.05 eV per cell
total magnetization: 2.72 μB/f.u.
volume: 120.5 Å³/cell
formation enthalpy at 0 K: 0.81 eV per atom

Structure (CIF):
```
data_Sc3FeRe
_space_group_name_H-M_alt 'P m -3 m'
_space_group_IT_number 221
_space_group_name_Hall '-P 4 2 3'
_cell_length_a 4.940
_cell_length_b 4.940
_cell_length_c 4.940
_cell_angle_alpha 90.00
_cell_angle_beta 90.00
_cell_angle_gamma 90.00
loop_
_atom_site_label
_atom_site_fract_x
_atom_site_fract_y
_atom_site_fract_z
Sc1 0.000 0.000 0.500
Fe1 0.500 0.500 0.500
Re1 0.000 0.000 0.000
```